P:
DFT (PBE) results for an optimized crystal structure of Ho6Ni2Rh.

For the total magnetization, the calculation gives 0.00 μB per cell. The density of states at the Fermi level is 14.51 states/eV/cell.

The structure belongs to space group P2_1/c (No. 14); the cell edges are 6.380, 7.069 and 11.635 Å and the angles 90.00°, 120.60° and 90.00°. Symmetry generates all atoms from Ho at (0.085, 0.184, 0.426), Ho at (0.242, 0.672, 0.421), Ho at (0.407, 0.051, 0.247), Ni at (0.179, 0.114, 0.736) and Rh at (0.500, 0.000, 0.500).

=====

Q:
DFT (PBE) results for an optimized crystal structure of Ho6Ni2Rh.

For the total magnetization, the calculation gives 0.00 μB per cell. The density of states at the Fermi level is 32.02 states/eV/cell.

The structure belongs to space group Immm (No. 71); the cell edges are 9.400, 9.417 and 9.465 Å and the angles 90.00°, 90.00° and 90.00°. Symmetry generates all atoms from Ho at (0.000, 0.190, 0.172), Ho at (0.175, 0.238, 0.500), Ho at (0.185, 0.500, 0.242), Ni at (0.000, 0.000, 0.380), Ni at (0.163, 0.000, 0.000), Rh at (0.000, 0.500, 0.000) and Rh at (0.000, 0.500, 0.500).

=====

So which one wins? Going from most stable to least: Q, P.

=====

P:
DFT (PBE) results for an optimized crystal structure of Ho3NiRh.

For the total magnetization, the calculation gives 0.00 μB per cell. The density of states at the Fermi level is 16.89 states/eV/cell.

The structure belongs to space group P2_1/c (No. 14); the cell edges are 8.060, 6.202 and 9.880 Å and the angles 90.00°, 113.77° and 90.00°. Symmetry generates all atoms from Ho at (0.141, 0.002, 0.298), Ho at (0.280, 0.004, 0.004), Ho at (0.330, 0.515, 0.179), Ni at (0.476, 0.684, 0.960) and Rh at (0.001, 0.235, 0.503).

=====

Q:
DFT (PBE) results for an optimized crystal structure of Ho3NiRh.

For the total magnetization, the calculation gives 0.00 μB per cell. The density of states at the Fermi level is 6.89 states/eV/cell.

The structure belongs to space group P2_1/m (No. 11); the cell edges are 7.404, 3.944 and 8.216 Å and the angles 90.00°, 108.83° and 90.00°. Symmetry generates all atoms from Ho at (0.095, 0.250, 0.242), Ho at (0.307, 0.250, 0.933), Ho at (0.360, 0.750, 0.602), Ni at (0.059, 0.250, 0.585) and Rh at (0.368, 0.750, 0.199).

=====

So which one wins? Going from most stable to least: Q, P.